(1)
# La8Sb2S15

A geometry-optimized La8Sb2S15 structure (GGA-PBE, Alexandria via LeMat-Bulk).

Formation energy without anion corrections: -1.821 eV/atom
Final energy: -620.4 eV for the cell shown
M_tot: 0.00 μB per atom

```
La8Sb2S15
1.0
-7.978 7.978 10.108
7.978 -7.978 10.108
7.978 7.978 -10.108
La Sb S
32 8 60
Direct
0.035 0.542 0.207
0.073 0.728 0.070
0.078 0.085 0.293
0.152 0.519 0.672
0.158 0.228 0.655
0.231 0.402 0.133
0.253 0.408 0.430
0.265 0.136 0.169
0.269 0.098 0.867
0.292 0.585 0.007
0.335 0.828 0.793
0.346 0.716 0.331
0.348 0.019 0.367
0.386 0.015 0.669
0.466 0.636 0.870
0.478 0.908 0.155
0.535 0.328 0.493
0.573 0.503 0.345
0.578 0.285 0.993
0.652 0.981 0.633
0.658 0.003 0.930
0.731 0.598 0.828
0.753 0.323 0.845
0.765 0.596 0.130
0.769 0.902 0.172
0.792 0.785 0.707
0.835 0.042 0.507
0.846 0.515 0.630
0.848 0.481 0.328
0.886 0.216 0.370
0.966 0.096 0.831
0.978 0.823 0.570
0.002 0.386 0.819
0.067 0.886 0.384
0.136 0.817 0.884
0.433 0.317 0.681
0.502 0.683 0.616
0.567 0.183 0.181
0.636 0.752 0.319
0.933 0.252 0.116
0.018 0.905 0.808
0.028 0.419 0.317
0.051 0.062 0.678
0.069 0.554 0.831
0.097 0.210 0.192
0.102 0.711 0.683
0.123 0.301 0.489
0.148 0.561 0.092
0.153 0.956 0.150
0.155 0.768 0.308
0.169 0.352 0.891
0.184 0.184 0.000
0.206 0.903 0.650
0.223 0.054 0.485
0.253 0.555 0.350
0.304 0.973 0.985
0.305 0.456 0.802
0.306 0.219 0.408
0.309 0.607 0.648
0.311 0.719 0.912
0.312 0.801 0.178
0.357 0.210 0.798
0.384 0.373 0.322
0.412 0.559 0.202
0.434 0.934 0.500
0.460 0.107 0.298
0.460 0.847 0.692
0.461 0.278 0.109
0.469 0.056 0.908
0.488 0.473 0.669
0.518 0.710 0.113
0.528 0.211 0.609
0.551 0.873 0.989
0.569 0.738 0.515
0.597 0.405 0.887
0.602 0.919 0.391
0.623 0.134 0.822
0.648 0.556 0.588
0.653 0.503 0.198
0.655 0.347 0.387
0.669 0.778 0.817
0.684 0.684 0.000
0.706 0.055 0.302
0.723 0.238 0.169
0.753 0.403 0.698
0.804 0.819 0.331
0.805 0.003 0.850
0.806 0.398 0.088
0.809 0.162 0.702
0.811 0.898 0.592
0.812 0.634 0.511
0.857 0.059 0.148
0.884 0.562 0.011
0.912 0.710 0.852
0.934 0.434 0.500
0.960 0.268 0.613
0.960 0.662 0.352
0.961 0.852 0.183
0.969 0.061 0.412
0.988 0.319 0.015
```

---

(2)
# La2SbS2

A geometry-optimized La2SbS2 structure (GGA-PBE, Alexandria via LeMat-Bulk).

Formation energy without anion corrections: -1.529 eV/atom
Final energy: -59.8 eV for the cell shown
M_tot: 0.00 μB per atom

```
La2SbS2
1.0
8.438 0.000 0.000
0.000 8.438 0.000
0.000 0.000 3.729
La Sb S
4 2 4
Direct
0.160 0.340 0.000
0.340 0.840 0.000
0.660 0.160 0.000
0.840 0.660 0.000
0.000 0.000 0.000
0.500 0.500 0.000
0.135 0.635 0.500
0.365 0.135 0.500
0.635 0.865 0.500
0.865 0.365 0.500
```

---

(3)
# La2SbS5

A geometry-optimized La2SbS5 structure (GGA-PBE, Alexandria via LeMat-Bulk).

Formation energy without anion corrections: -1.310 eV/atom
Final energy: -90.2 eV for the cell shown
M_tot: 0.00 μB per atom

```
La2SbS5
1.0
2.672 -7.115 0.000
2.672 7.115 0.000
0.000 0.000 13.339
La Sb S
4 2 10
Direct
0.149 0.851 0.569
0.149 0.851 0.931
0.851 0.149 0.069
0.851 0.149 0.431
0.167 0.833 0.250
0.833 0.167 0.750
0.046 0.954 0.113
0.046 0.954 0.387
0.281 0.719 0.750
0.290 0.710 0.090
0.290 0.710 0.410
0.710 0.290 0.590
0.710 0.290 0.910
0.719 0.281 0.250
0.954 0.046 0.613
0.954 0.046 0.887
```

---

(4)
# LaSbS4

A geometry-optimized LaSbS4 structure (GGA-PBE, Alexandria via LeMat-Bulk).

Formation energy without anion corrections: -0.903 eV/atom
Final energy: -62.0 eV for the cell shown
M_tot: 0.00 μB per atom

```
LaSbS4
1.0
6.457 -3.556 0.000
6.457 3.556 0.000
-3.039 0.000 6.537
La Sb S
2 2 8
Direct
0.198 0.802 0.750
0.802 0.198 0.250
0.000 0.500 0.000
0.500 0.000 0.500
0.126 0.183 0.648
0.183 0.126 0.148
0.408 0.412 0.920
0.412 0.408 0.420
0.588 0.592 0.580
0.592 0.588 0.080
0.817 0.874 0.852
0.874 0.817 0.352
```

---

(5)
# LaSbS3

A geometry-optimized LaSbS3 structure (GGA-PBE, Alexandria via LeMat-Bulk).

Formation energy without anion corrections: -1.182 eV/atom
Final energy: -109.4 eV for the cell shown
M_tot: 0.00 μB per atom

```
LaSbS3
1.0
7.808 0.000 0.000
0.000 4.189 0.000
0.000 0.000 14.522
La Sb S
4 4 12
Direct
0.080 0.250 0.148
0.420 0.750 0.648
0.580 0.250 0.352
0.920 0.750 0.852
0.117 0.750 0.426
0.383 0.250 0.926
0.617 0.750 0.074
0.883 0.250 0.574
0.032 0.750 0.656
0.173 0.750 0.012
0.179 0.250 0.797
0.321 0.750 0.297
0.327 0.250 0.512
0.468 0.250 0.156
0.532 0.750 0.844
0.673 0.750 0.488
0.679 0.250 0.703
0.821 0.750 0.203
0.827 0.250 0.988
0.968 0.250 0.344
```

---

(6)
# La2SbS5

A geometry-optimized La2SbS5 structure (GGA-PBE, Alexandria via LeMat-Bulk).

Formation energy without anion corrections: -1.455 eV/atom
Final energy: -92.5 eV for the cell shown
M_tot: 0.00 μB per atom

```
La2SbS5
1.0
7.794 0.000 0.000
0.000 11.453 0.000
0.000 0.000 4.128
La Sb S
4 2 10
Direct
0.068 0.169 0.000
0.432 0.669 0.000
0.568 0.331 0.000
0.932 0.831 0.000
0.000 0.500 0.500
0.500 0.000 0.500
0.000 0.000 0.500
0.152 0.706 0.500
0.191 0.430 0.000
0.309 0.930 0.000
0.348 0.206 0.500
0.500 0.500 0.500
0.652 0.794 0.500
0.691 0.070 0.000
0.809 0.570 0.000
0.848 0.294 0.500
```

---

(7)
# LaSbS

A geometry-optimized LaSbS structure (GGA-PBE, Alexandria via LeMat-Bulk).

Formation energy without anion corrections: -1.329 eV/atom
Final energy: -34.3 eV for the cell shown
M_tot: 0.00 μB per atom

```
LaSbS
1.0
2.431 1.404 8.909
-2.431 1.404 8.909
0.000 -2.807 8.909
La Sb S
2 2 2
Direct
0.100 0.100 0.100
0.900 0.900 0.900
0.348 0.348 0.348
0.652 0.652 0.652
0.206 0.206 0.206
0.794 0.794 0.794
```

---

(8)
# La4Sb2S

A geometry-optimized La4Sb2S structure (GGA-PBE, Alexandria via LeMat-Bulk).

Formation energy without anion corrections: -1.124 eV/atom
Final energy: -79.9 eV for the cell shown
M_tot: 0.00 μB per atom

```
La4Sb2S
1.0
5.343 0.000 0.000
0.000 5.343 0.000
0.000 0.000 16.709
La Sb S
8 4 2
Direct
0.000 0.000 0.170
0.000 0.000 0.830
0.000 0.500 0.000
0.000 0.500 0.500
0.500 0.000 0.000
0.500 0.000 0.500
0.500 0.500 0.330
0.500 0.500 0.670
0.000 0.000 0.365
0.000 0.000 0.635
0.500 0.500 0.135
0.500 0.500 0.865
0.000 0.000 0.000
0.500 0.500 0.500
```

---

(9)
# La3SbS6

A geometry-optimized La3SbS6 structure (GGA-PBE, Alexandria via LeMat-Bulk).

Formation energy without anion corrections: -1.692 eV/atom
Final energy: -121.2 eV for the cell shown
M_tot: 0.00 μB per atom

```
La3SbS6
1.0
5.564 -6.966 0.000
5.564 6.966 0.000
0.000 0.000 7.117
La Sb S
6 2 12
Direct
0.101 0.899 0.500
0.211 0.415 0.576
0.415 0.211 0.076
0.585 0.789 0.576
0.789 0.585 0.076
0.899 0.101 0.000
0.326 0.674 0.108
0.674 0.326 0.608
0.078 0.597 0.283
0.141 0.185 0.287
0.185 0.141 0.787
0.273 0.727 0.724
0.403 0.922 0.283
0.484 0.516 0.333
0.516 0.484 0.833
0.597 0.078 0.783
0.727 0.273 0.224
0.815 0.859 0.287
0.859 0.815 0.787
0.922 0.403 0.783
```

---

(10)
# La8SbS6

A geometry-optimized La8SbS6 structure (GGA-PBE, Alexandria via LeMat-Bulk).

Formation energy without anion corrections: -1.690 eV/atom
Final energy: -93.7 eV for the cell shown
M_tot: 0.00 μB per atom

```
La8SbS6
1.0
10.735 0.000 0.000
-5.368 9.297 0.000
0.000 0.000 4.252
La Sb S
8 1 6
Direct
0.035 0.337 0.254
0.302 0.965 0.254
0.333 0.667 0.749
0.337 0.302 0.746
0.663 0.698 0.254
0.667 0.333 0.251
0.698 0.035 0.746
0.965 0.663 0.746
0.000 0.000 0.500
0.136 0.652 0.249
0.348 0.483 0.249
0.483 0.136 0.751
0.517 0.864 0.249
0.652 0.517 0.751
0.864 0.348 0.751
```

---

(11)
# LaScSb2S

A geometry-optimized LaScSb2S structure (GGA-PBE, Alexandria via LeMat-Bulk).

Formation energy without anion corrections: -0.215 eV/atom
Final energy: -24.7 eV for the cell shown
M_tot: 0.00 μB per atom

```
LaScSb2S
1.0
5.371 0.000 0.000
0.000 5.371 0.000
0.000 0.000 5.217
La Sc Sb S
1 1 2 1
Direct
0.000 0.000 0.000
0.500 0.500 0.000
0.000 0.500 0.500
0.500 0.000 0.500
0.000 0.000 0.500
```

---

(12)
# La6Sb2Se3S

A geometry-optimized La6Sb2Se3S structure (GGA-PBE, Alexandria via LeMat-Bulk).

Formation energy without anion corrections: -1.769 eV/atom
Final energy: -73.6 eV for the cell shown
M_tot: 0.00 μB per atom

```
La6Sb2Se3S
1.0
9.588 -2.200 0.000
9.588 2.200 0.000
-2.012 0.000 8.583
La Sb Se S
6 2 3 1
Direct
0.004 0.004 0.265
0.337 0.337 0.908
0.340 0.340 0.429
0.660 0.660 0.571
0.663 0.663 0.092
0.996 0.996 0.735
0.166 0.166 0.833
0.834 0.834 0.167
0.170 0.170 0.336
0.500 0.500 0.000
0.830 0.830 0.664
0.500 0.500 0.500
```